# 1
# Li2Fe2Ag (PBE, relaxed)
data_Li2Fe2Ag
_chemical_formula_sum 'Li2 Fe2 Ag1'
_cell_length_a 3.221
_cell_length_b 3.221
_cell_length_c 8.130
_cell_angle_alpha 78.58
_cell_angle_beta 78.58
_cell_angle_gamma 90.00
_space_group_name_H-M_alt 'P 1'
_space_group_IT_number 1
loop_
_space_group_symop_operation_xyz
'x,y,z'
loop_
_atom_site_label
_atom_site_fract_x
_atom_site_fract_y
_atom_site_fract_z
Li1 0.604 0.604 0.791
Li2 0.396 0.396 0.209
Ag1 0.000 0.000 0.000
Fe1 0.250 0.750 0.500
Fe2 0.750 0.250 0.500
# Energy = -4.385 eV/atom
# DOS at the Fermi energy = 2.6 states/eV/cell
# Energy of formation = 1.68 eV per formula unit
# Mass density = 4.79 g/cm³
# Offset from the most stable computed form = 0.0 kJ per mole of atoms



# 2
# SrFeAs (PBE, relaxed)
data_SrFeAs
_chemical_formula_sum 'Sr2 Fe2 As2'
_cell_length_a 3.968
_cell_length_b 3.968
_cell_length_c 9.017
_cell_angle_alpha 90.00
_cell_angle_beta 90.00
_cell_angle_gamma 90.00
_space_group_name_H-M_alt 'P 1'
_space_group_IT_number 1
loop_
_space_group_symop_operation_xyz
'x,y,z'
loop_
_atom_site_label
_atom_site_fract_x
_atom_site_fract_y
_atom_site_fract_z
Fe1 0.000 0.000 0.500
Fe2 0.500 0.500 0.500
Sr1 0.500 0.000 0.199
Sr2 0.000 0.500 0.801
As1 0.000 0.500 0.362
As2 0.500 0.000 0.638
# Energy = -5.461 eV/atom
# DOS at the Fermi energy = 6.5 states/eV/cell
# Energy of formation = -1.59 eV per formula unit
# Mass density = 5.11 g/cm³



# 3
# Rb2ErGeS4 (PBE, relaxed)
data_Rb2ErGeS4
_chemical_formula_sum 'Rb4 Er2 Ge2 S8'
_cell_length_a 6.499
_cell_length_b 7.884
_cell_length_c 12.695
_cell_angle_alpha 83.94
_cell_angle_beta 75.17
_cell_angle_gamma 65.66
_space_group_name_H-M_alt 'P 1'
_space_group_IT_number 1
loop_
_space_group_symop_operation_xyz
'x,y,z'
loop_
_atom_site_label
_atom_site_fract_x
_atom_site_fract_y
_atom_site_fract_z
S1 0.870 0.694 0.601
S2 0.221 0.194 0.899
S3 0.529 0.306 0.601
S4 0.880 0.806 0.899
S5 0.165 0.306 0.399
S6 0.585 0.194 0.101
S7 0.436 0.694 0.399
S8 0.314 0.806 0.101
Ge1 0.250 0.500 0.500
Ge2 0.500 0.000 0.000
Er1 0.000 0.000 0.000
Er2 0.750 0.500 0.500
Rb1 0.818 0.000 0.365
Rb2 0.182 0.000 0.635
Rb3 0.568 0.500 0.865
Rb4 0.932 0.500 0.135
# Energy = -4.516 eV/atom
# DOS at the Fermi energy = 8.4 states/eV/cell
# Mass density = 3.13 g/cm³
# Uncorrected formation energy = -1.063 eV/atom



# 4
# KCd2P (PBE, relaxed)
data_KCd2P
_chemical_formula_sum 'K1 Cd2 P1'
_cell_length_a 4.382
_cell_length_b 4.382
_cell_length_c 7.806
_cell_angle_alpha 73.74
_cell_angle_beta 73.74
_cell_angle_gamma 59.98
_space_group_name_H-M_alt 'P 1'
_space_group_IT_number 1
loop_
_space_group_symop_operation_xyz
'x,y,z'
loop_
_atom_site_label
_atom_site_fract_x
_atom_site_fract_y
_atom_site_fract_z
Cd1 0.728 0.728 0.817
Cd2 0.971 0.971 0.086
K1 0.516 0.516 0.452
P1 0.285 0.285 0.145
# Energy = -2.198 eV/atom
# DOS at the Fermi energy = 0.1 states/eV/cell
# Energy of formation = -0.45 eV per formula unit
# Mass density = 3.99 g/cm³



# 5
# Hf3CoGe3 (PBE, relaxed)
data_Hf3CoGe3
_chemical_formula_sum 'Hf6 Co2 Ge6'
_cell_length_a 3.882
_cell_length_b 5.307
_cell_length_c 12.674
_cell_angle_alpha 85.03
_cell_angle_beta 81.19
_cell_angle_gamma 68.54
_space_group_name_H-M_alt 'P 1'
_space_group_IT_number 1
loop_
_space_group_symop_operation_xyz
'x,y,z'
loop_
_atom_site_label
_atom_site_fract_x
_atom_site_fract_y
_atom_site_fract_z
Hf1 0.738 0.758 0.766
Hf2 0.262 0.242 0.234
Hf3 0.485 0.651 0.380
Hf4 0.515 0.349 0.620
Hf5 0.396 0.285 0.922
Hf6 0.604 0.715 0.078
Ge1 0.016 0.203 0.764
Ge2 0.148 0.241 0.464
Ge3 0.876 0.172 0.076
Ge4 0.852 0.759 0.536
Ge5 0.984 0.797 0.236
Ge6 0.124 0.828 0.924
Co1 0.237 0.907 0.618
Co2 0.763 0.093 0.382
# Energy = -7.922 eV/atom
# DOS at the Fermi energy = 6.0 states/eV/cell
# Energy of formation = -4.63 eV per formula unit
# Mass density = 11.24 g/cm³



# 6
# KAl2Ir (PBE, relaxed)
data_KAl2Ir
_chemical_formula_sum 'K1 Al2 Ir1'
_cell_length_a 4.659
_cell_length_b 4.659
_cell_length_c 4.659
_cell_angle_alpha 60.00
_cell_angle_beta 60.00
_cell_angle_gamma 60.00
_space_group_name_H-M_alt 'P 1'
_space_group_IT_number 1
loop_
_space_group_symop_operation_xyz
'x,y,z'
loop_
_atom_site_label
_atom_site_fract_x
_atom_site_fract_y
_atom_site_fract_z
K1 0.000 0.000 0.000
Al1 0.750 0.750 0.750
Al2 0.250 0.250 0.250
Ir1 0.500 0.500 0.500
# Energy = -4.092 eV/atom
# DOS at the Fermi energy = 3.4 states/eV/cell
# Energy of formation = 1.08 eV per formula unit
# Mass density = 6.62 g/cm³
# Offset from the most stable computed form = 45.5 kJ per mole of atoms



# 7
# TbYScCu (PBE, relaxed)
data_TbYScCu
_chemical_formula_sum 'Tb1 Y1 Sc1 Cu1'
_cell_length_a 5.171
_cell_length_b 5.171
_cell_length_c 5.171
_cell_angle_alpha 60.00
_cell_angle_beta 60.00
_cell_angle_gamma 60.00
_space_group_name_H-M_alt 'P 1'
_space_group_IT_number 1
loop_
_space_group_symop_operation_xyz
'x,y,z'
loop_
_atom_site_label
_atom_site_fract_x
_atom_site_fract_y
_atom_site_fract_z
Tb1 0.750 0.750 0.750
Sc1 0.500 0.500 0.500
Cu1 0.000 0.000 0.000
Y1 0.250 0.250 0.250
# Energy = -5.254 eV/atom
# DOS at the Fermi energy = 3.8 states/eV/cell
# Energy of formation = 0.50 eV per formula unit
# Mass density = 6.05 g/cm³



# 8
# DyB4C2 (PBE, relaxed)
data_DyB4C2
_chemical_formula_sum 'Dy2 B8 C4'
_cell_length_a 4.251
_cell_length_b 6.086
_cell_length_c 6.086
_cell_angle_alpha 90.00
_cell_angle_beta 90.00
_cell_angle_gamma 90.00
_space_group_name_H-M_alt 'P 1'
_space_group_IT_number 1
loop_
_space_group_symop_operation_xyz
'x,y,z'
loop_
_atom_site_label
_atom_site_fract_x
_atom_site_fract_y
_atom_site_fract_z
B1 0.500 0.558 0.884
B2 0.000 0.616 0.058
B3 0.000 0.384 0.942
B4 0.000 0.942 0.384
B5 0.000 0.058 0.616
B6 0.500 0.116 0.442
B7 0.500 0.442 0.116
B8 0.500 0.884 0.558
C1 0.500 0.310 0.310
C2 0.000 0.190 0.810
C3 0.500 0.690 0.690
C4 0.000 0.810 0.190
Dy1 0.500 0.000 0.000
Dy2 0.000 0.500 0.500
# Energy = -6.916 eV/atom
# DOS at the Fermi energy = 3.4 states/eV/cell
# Energy of formation = 1.35 eV per formula unit
# Mass density = 4.85 g/cm³



# 9
# Pr6InNi2 (PBE, relaxed)
data_Pr6InNi2
_chemical_formula_sum 'Pr12 In2 Ni4'
_cell_length_a 8.794
_cell_length_b 8.794
_cell_length_c 8.794
_cell_angle_alpha 105.75
_cell_angle_beta 108.53
_cell_angle_gamma 114.25
_space_group_name_H-M_alt 'P 1'
_space_group_IT_number 1
loop_
_space_group_symop_operation_xyz
'x,y,z'
loop_
_atom_site_label
_atom_site_fract_x
_atom_site_fract_y
_atom_site_fract_z
In1 0.000 0.000 0.000
In2 0.000 0.500 0.500
Pr1 0.798 0.229 0.027
Pr2 0.890 0.706 0.184
Pr3 0.522 0.706 0.816
Pr4 0.798 0.771 0.569
Pr5 0.478 0.294 0.184
Pr6 0.110 0.294 0.816
Pr7 0.691 0.369 0.678
Pr8 0.202 0.229 0.431
Pr9 0.309 0.631 0.322
Pr10 0.691 0.014 0.322
Pr11 0.202 0.771 0.973
Pr12 0.309 0.986 0.678
Ni1 0.362 0.000 0.362
Ni2 0.638 0.000 0.638
Ni3 0.500 0.618 0.118
Ni4 0.500 0.382 0.882
# Energy = -5.020 eV/atom
# DOS at the Fermi energy = 18.7 states/eV/cell
# Energy of formation = -2.20 eV per formula unit
# Mass density = 6.88 g/cm³



# 10
# Sb3Pt2 (PBE, relaxed)
data_Sb3Pt2
_chemical_formula_sum 'Sb3 Pt2'
_cell_length_a 8.628
_cell_length_b 8.628
_cell_length_c 8.628
_cell_angle_alpha 26.93
_cell_angle_beta 26.93
_cell_angle_gamma 26.93
_space_group_name_H-M_alt 'P 1'
_space_group_IT_number 1
loop_
_space_group_symop_operation_xyz
'x,y,z'
loop_
_atom_site_label
_atom_site_fract_x
_atom_site_fract_y
_atom_site_fract_z
Pt1 0.396 0.396 0.396
Pt2 0.604 0.604 0.604
Sb1 0.000 0.000 0.000
Sb2 0.785 0.785 0.785
Sb3 0.215 0.215 0.215
# Energy = -5.194 eV/atom
# DOS at the Fermi energy = 2.9 states/eV/cell
# Mass density = 10.80 g/cm³
# Uncorrected formation energy = -0.304 eV/atom



# 11
# CrTc2B (PBE, relaxed)
data_CrTc2B
_chemical_formula_sum 'Cr2 Tc4 B2'
_cell_length_a 6.971
_cell_length_b 6.971
_cell_length_c 5.375
_cell_angle_alpha 49.57
_cell_angle_beta 49.57
_cell_angle_gamma 90.00
_space_group_name_H-M_alt 'P 1'
_space_group_IT_number 1
loop_
_space_group_symop_operation_xyz
'x,y,z'
loop_
_atom_site_label
_atom_site_fract_x
_atom_site_fract_y
_atom_site_fract_z
Tc1 0.875 0.776 0.750
Tc2 0.375 0.474 0.750
Tc3 0.526 0.125 0.250
Tc4 0.224 0.625 0.250
Cr1 0.750 0.250 0.500
Cr2 0.000 0.000 0.000
B1 0.250 0.750 0.500
B2 0.500 0.500 0.000
# Energy = -9.031 eV/atom
# DOS at the Fermi energy = 7.7 states/eV/cell
# Energy of formation = 0.91 eV per formula unit
# Mass density = 8.25 g/cm³